[1]
Here is a geometry-optimized KAlNi3 structure from Alexandria. Energies are from PBE-GGA.

Lattice parameters (Å, degrees): 4.543 4.543 4.543 90.00 90.00 90.00
Sites, in units of the cell vectors:
K 0.000 0.000 0.000
Al 0.500 0.500 0.500
Ni 0.000 0.500 0.500
Ni 0.500 0.000 0.500
Ni 0.500 0.500 0.000

Values from the calculation:
M_tot ... 0.00 μB per formula unit

[2]
Here is a geometry-optimized KAlNi2 structure from Alexandria. Energies are from PBE-GGA.

Lattice parameters (Å, degrees): 6.708 6.907 2.787 90.00 90.16 90.00
Sites, in units of the cell vectors:
K 0.000 0.000 0.000
K 0.500 0.500 0.000
Al 0.000 0.500 0.000
Al 0.500 0.000 0.000
Ni 0.250 0.250 0.500
Ni 0.250 0.750 0.500
Ni 0.750 0.250 0.500
Ni 0.750 0.750 0.500

Values from the calculation:
M_tot ... 0.00 μB per formula unit

[3]
Here is a geometry-optimized KAlNi2 structure from Alexandria. Energies are from PBE-GGA.

Lattice parameters (Å, degrees): 2.912 2.912 27.083 90.00 90.00 120.00
Sites, in units of the cell vectors:
K 0.000 0.000 0.000
K 0.333 0.667 0.667
K 0.667 0.333 0.333
Al 0.000 0.000 0.500
Al 0.333 0.667 0.167
Al 0.667 0.333 0.833
Ni 0.000 0.000 0.232
Ni 0.000 0.000 0.768
Ni 0.333 0.667 0.434
Ni 0.333 0.667 0.899
Ni 0.667 0.333 0.101
Ni 0.667 0.333 0.566

Values from the calculation:
M_tot ... 0.00 μB per formula unit

[4]
Here is a geometry-optimized KAlNi2 structure from Alexandria. Energies are from PBE-GGA.

Lattice parameters (Å, degrees): 2.680 4.996 10.240 90.00 90.00 90.00
Sites, in units of the cell vectors:
K 0.000 0.000 0.000
K 0.500 0.500 0.500
Al 0.000 0.500 0.200
Al 0.500 0.000 0.700
Ni 0.000 0.000 0.496
Ni 0.000 0.500 0.793
Ni 0.500 0.000 0.293
Ni 0.500 0.500 0.996

Values from the calculation:
M_tot ... 0.00 μB per formula unit

[5]
Here is a geometry-optimized KAlNi2 structure from Alexandria. Energies are from PBE-GGA.

Lattice parameters (Å, degrees): 2.778 5.680 9.570 90.00 90.00 90.00
Sites, in units of the cell vectors:
K 0.000 0.000 0.000
K 0.500 0.500 0.500
Al 0.000 0.000 0.500
Al 0.500 0.500 0.000
Ni 0.000 0.500 0.197
Ni 0.000 0.500 0.803
Ni 0.500 0.000 0.303
Ni 0.500 0.000 0.697

Values from the calculation:
M_tot ... 0.00 μB per formula unit

[6]
Here is a geometry-optimized KAlNi2 structure from Alexandria. Energies are from PBE-GGA.

Lattice parameters (Å, degrees): 8.093 2.870 6.962 90.00 98.06 90.00
Sites, in units of the cell vectors:
K 0.000 0.000 0.000
K 0.500 0.500 0.000
Al 0.000 0.500 0.500
Al 0.500 0.000 0.500
Ni 0.223 0.000 0.631
Ni 0.277 0.500 0.369
Ni 0.723 0.500 0.631
Ni 0.777 0.000 0.369

Values from the calculation:
M_tot ... 0.00 μB per formula unit

Which energy belongs to each record? In order, -3.811, -3.543, -3.740, -3.696, -3.616, -3.935 eV per atom.
Which energy of formation belongs to each record? In order, 3.13, 2.23, 1.44, 1.62, 1.94, 0.66 eV per formula unit.
Which N(E_F) belongs to each record? In order, 0.36, 0.65, 0.67, 0.88, 0.49, 0.69 states/eV/atom.